The following is a DFT calculation (PBE-GGA) of an optimized crystal structure of ErNbSb.

Unit cell a=6.762 b=6.762 c=6.762 alpha=90.00 beta=90.00 gamma=90.00
Space group F-43m (No. 216)
One atom of each set of equivalent atoms:
Er (0.000, 0.000, 0.000) [4 per cell]
Nb (0.000, 0.000, 0.500) [4 per cell]
Sb (0.250, 0.250, 0.750) [4 per cell]

Final energy: -75.248 eV/cell
Spin magnetization: 0.29 μB per cell

The following is a DFT calculation (PBE-GGA) of an optimized crystal structure of YGa2Ni2.

Unit cell a=4.032 b=4.032 c=10.178 alpha=90.00 beta=90.00 gamma=90.00
Space group I4/mmm (No. 139)
One atom of each set of equivalent atoms:
Y (0.000, 0.000, 0.000) [2 per cell]
Ga (0.000, 0.000, 0.373) [4 per cell]
Ni (0.000, 0.500, 0.250) [4 per cell]

Final energy: -52.930 eV/cell
Spin magnetization: 0.11 μB per cell

The following is a DFT calculation (PBE-GGA) of an optimized crystal structure of PrMgCd.

Unit cell a=7.283 b=7.283 c=7.283 alpha=90.00 beta=90.00 gamma=90.00
Space group F-43m (No. 216)
One atom of each set of equivalent atoms:
Pr (0.000, 0.000, 0.000) [4 per cell]
Mg (0.250, 0.250, 0.250) [4 per cell]
Cd (0.250, 0.250, 0.750) [4 per cell]

Final energy: -25.559 eV/cell
Spin magnetization: 0.02 μB per cell

The following is a DFT calculation (PBE-GGA) of an optimized crystal structure of Sm2ThIr9.

Unit cell a=5.3587 b=5.3587 c=26.5724 alpha=90.00 beta=90.00 gamma=120.00
Space group R-3m (No. 166, hexagonal axes)
One atom of each set of equivalent atoms:
Sm (0.0000, 0.0000, 0.1403) [6 per cell]
Th (0.0000, 0.0000, 0.0000) [3 per cell]
Ir (0.0000, 0.0000, 0.3327) [6 per cell]
Ir (0.0000, 0.0000, 0.5000) [3 per cell]
Ir (0.0016, 0.5008, 0.0818) [18 per cell]

Final energy: -311.556 eV/cell
Spin magnetization: 0.02 μB per cell

The following is a DFT calculation (PBE-GGA) of an optimized crystal structure of MgAgTeO.

Unit cell a=6.196 b=3.683 c=14.080 alpha=90.00 beta=90.00 gamma=90.00
Space group Pnma (No. 62)
One atom of each set of equivalent atoms:
Mg (0.077, 0.250, 0.215) [4 per cell]
Ag (0.237, 0.250, 0.918) [4 per cell]
Te (0.227, 0.250, 0.574) [4 per cell]
O (0.219, 0.750, 0.814) [4 per cell]

Final energy: -63.470 eV/cell
Offset from the most stable computed form: 1.08 eV per formula unit

The following is a DFT calculation (PBE-GGA) of an optimized crystal structure of HfAsPd2.

Unit cell a=6.448 b=6.448 c=6.448 alpha=90.00 beta=90.00 gamma=90.00
Space group F-43m (No. 216)
One atom of each set of equivalent atoms:
Hf (0.000, 0.000, 0.000) [4 per cell]
As (0.250, 0.250, 0.750) [4 per cell]
Pd (0.000, 0.000, 0.500) [4 per cell]
Pd (0.250, 0.250, 0.250) [4 per cell]

Final energy: -108.974 eV/cell
Spin magnetization: 0.00 μB per cell

The following is a DFT calculation (PBE-GGA) of an optimized crystal structure of Li2La2In2NiAg.

Unit cell a=4.921 b=4.921 c=7.097 alpha=90.00 beta=90.00 gamma=90.00
Space group P-4m2 (No. 115)
One atom of each set of equivalent atoms:
Li (0.000, 0.000, 0.000) [1 per cell]
Li (0.500, 0.500, 0.500) [1 per cell]
La (0.000, 0.500, 0.731) [2 per cell]
In (0.000, 0.500, 0.259) [2 per cell]
Ni (0.000, 0.000, 0.500) [1 per cell]
Ag (0.500, 0.500, 0.000) [1 per cell]

Final energy: -30.320 eV/cell
Spin magnetization: 0.02 μB per cell

The following is a DFT calculation (PBE-GGA) of an optimized crystal structure of Nd3Sn2Ge2Au4.

Unit cell a=4.582 b=7.191 c=15.377 alpha=90.00 beta=90.00 gamma=90.00
Space group Immm (No. 71)
One atom of each set of equivalent atoms:
Nd (0.000, 0.000, 0.000) [2 per cell]
Nd (0.000, 0.500, 0.124) [4 per cell]
Sn (0.000, 0.000, 0.218) [4 per cell]
Ge (0.000, 0.180, 0.500) [4 per cell]
Au (0.000, 0.302, 0.342) [8 per cell]

Final energy: -105.343 eV/cell
Spin magnetization: 0.01 μB per cell

Among the records above, which one has the lowest final energy? Sm2ThIr9